Density functional theory data (GGA-PBE) for crystalline Cs4Pa3PbO12 at its relaxed geometry.

Structure (CIF):
```
data_Cs4Pa3PbO12
_chemical_formula_sum 'Cs8 Pa6 Pb2 O24'
_space_group_name_H-M_alt 'I m -3 m'
_space_group_IT_number 229
_space_group_name_Hall '-I 4 2 3'
_cell_length_a 8.914
_cell_length_b 8.914
_cell_length_c 8.914
_cell_angle_alpha 90.00
_cell_angle_beta 90.00
_cell_angle_gamma 90.00
loop_
_atom_site_label
_atom_site_type_symbol
_atom_site_fract_x
_atom_site_fract_y
_atom_site_fract_z
Cs1 Cs 0.250 0.250 0.250
Pa1 Pa 0.000 0.000 0.500
Pb1 Pb 0.000 0.000 0.000
O1 O 0.000 0.000 0.259
O2 O 0.000 0.250 0.500
```


Density functional theory data (GGA-PBE) for crystalline CsPaPbO5 at its relaxed geometry.

Structure (CIF):
```
data_CsPaPbO5
_chemical_formula_sum 'Cs4 Pa4 Pb4 O20'
_space_group_name_H-M_alt 'C 1 2/c 1'
_space_group_IT_number 15
_space_group_name_Hall '-C 2yc'
_cell_length_a 8.071
_cell_length_b 10.758
_cell_length_c 8.383
_cell_angle_alpha 90.00
_cell_angle_beta 115.34
_cell_angle_gamma 90.00
loop_
_atom_site_label
_atom_site_type_symbol
_atom_site_fract_x
_atom_site_fract_y
_atom_site_fract_z
Cs1 Cs 0.000 0.172 0.250
Pa1 Pa 0.000 0.500 0.000
Pb1 Pb 0.000 0.189 0.750
O1 O 0.000 0.454 0.250
O2 O 0.081 0.308 0.598
O3 O 0.217 0.069 0.901
```


Calculated uncorrected formation energy (eV per atom), listed in the same order as above: -2.499 -2.188